Entry 1:
Material: BaCrAs
Method: DFT, GGA-PBE
State: relaxed

abc: 4.514 4.514 4.871
angles: 90.00 90.00 120.00
Site moments in Bohr magnetons follow the coordinates.
Atoms (fractional coordinates):
As1 0.000 0.000 0.834  -0.08
Cr1 0.333 0.667 0.833  3.86
Ba1 0.667 0.333 0.333  0.15

Calculated values
magnetic moment	4.89	μB per cell
energy of formation from the pure elements	-1.14	eV/f.u.

Entry 2:
Material: La2Y3Er4
Method: DFT, GGA-PBE
State: relaxed

abc: 5.078 8.015 8.017
angles: 107.43 108.46 90.00
Atoms (fractional coordinates):
La1 0.334 0.999 0.668
La2 0.666 0.001 0.332
Er1 0.222 0.339 0.444
Er2 0.557 0.339 0.114
Er3 0.778 0.661 0.556
Er4 0.443 0.661 0.886
Y1 0.110 0.663 0.220
Y2 0.000 0.000 0.000
Y3 0.890 0.337 0.780

Calculated values
magnetic moment	0.00	μB per cell
energy of formation from the pure elements	0.31	eV/f.u.

Entry 3:
Material: KBaHgGe
Method: DFT, GGA-PBE
State: relaxed

abc: 5.779 5.779 5.779
angles: 60.00 60.00 60.00
Site moments in Bohr magnetons follow the coordinates.
Atoms (fractional coordinates):
Ba1 0.750 0.750 0.750  0.03
K1 0.250 0.250 0.250  0.01
Ge1 0.000 0.000 0.000  0.18
Hg1 0.500 0.500 0.500  0.01

Calculated values
magnetic moment	0.60	μB per cell
energy of formation from the pure elements	-0.94	eV/f.u.

Entry 4:
Material: LiTbTm2Rh4
Method: DFT, GGA-PBE
State: relaxed

abc: 4.671 4.671 8.135
angles: 73.32 73.32 60.00
Atoms (fractional coordinates):
Li1 0.500 0.500 0.500
Rh1 0.377 0.377 0.869
Rh2 0.124 0.124 0.629
Rh3 0.876 0.876 0.371
Rh4 0.623 0.623 0.131
Tb1 0.000 0.000 0.000
Tm1 0.758 0.758 0.725
Tm2 0.242 0.242 0.275

Calculated values
magnetic moment	0.00	μB per cell
energy of formation from the pure elements	-6.06	eV/f.u.

Entry 5:
Material: Na2MnNiRu
Method: DFT, GGA-PBE
State: relaxed

abc: 4.824 4.599 4.824
angles: 90.00 90.00 90.00
Site moments in Bohr magnetons follow the coordinates.
Atoms (fractional coordinates):
Mn1 0.000 0.500 0.000  -3.89
Na1 0.500 0.000 0.000  0.02
Na2 0.000 0.000 0.500  0.02
Ni1 0.000 0.000 0.000  -0.57
Ru1 0.500 0.500 0.500  -2.08

Calculated values
magnetic moment	6.81	μB per cell
energy of formation from the pure elements	6.76	eV/f.u.

Entry 6:
Material: MnCuRh4
Method: DFT, GGA-PBE
State: relaxed

abc: 5.089 5.089 5.089
angles: 60.00 60.00 60.00
Site moments in Bohr magnetons follow the coordinates.
Atoms (fractional coordinates):
Cu1 0.750 0.750 0.750  -0.05
Rh1 0.875 0.375 0.375  -0.22
Rh2 0.375 0.875 0.375  -0.22
Rh3 0.375 0.375 0.375  -0.22
Rh4 0.375 0.375 0.875  -0.22
Mn1 0.000 0.000 0.000  4.01

Calculated values
magnetic moment	3.23	μB per cell
energy of formation from the pure elements	1.93	eV/f.u.